# LiMnW2 (PBE, optimized geometry)
data_LiMnW2
_symmetry_space_group_name_H-M 'C 1 2/m 1'
_symmetry_Int_Tables_number 12
_cell_length_a 5.331
_cell_length_b 8.518
_cell_length_c 2.632
_cell_angle_alpha 90.00
_cell_angle_beta 107.93
_cell_angle_gamma 90.00
loop_
_symmetry_equiv_pos_as_xyz
'x,y,z'
'-x,-y,-z'
'-x,y,-z'
'x,-y,z'
'x+1/2,y+1/2,z'
'-x+1/2,-y+1/2,-z'
'-x+1/2,y+1/2,-z'
'x+1/2,-y+1/2,z'
loop_
_atom_site_label
_atom_site_type_symbol
_atom_site_fract_x
_atom_site_fract_y
_atom_site_fract_z
Li1 Li 0.000 0.000 0.000
Mn1 Mn 0.000 0.500 0.000
W1 W 0.250 0.250 0.500
# ΔE_f   0.40 eV per atom
# M_tot   1.34 μB/f.u.
# Energy above the lowest structure with this stoichiometry   1.46 kcal/mol of atoms